(1)
Computed, not measured: an optimized crystal structure of Hf3Zr3GaSb2 at the PBE level of DFT.

a = 7.6327 Å, b = 7.6327 Å, c = 3.8813 Å
α = 90.00°, β = 90.00°, γ = 120.00°
Closest atoms and distances in Å follow each position.
Atoms (fractional coordinates):
Ga1 0.0000 0.0000 0.0000  6 Zr 2.71
Hf1 0.6004 0.0000 0.0000  4 Sb 3.03, 1 Ga 3.05, 6 Zr 3.30-3.32
Hf2 0.3996 0.3996 0.0000  4 Sb 3.03, 1 Ga 3.05, 6 Zr 3.30-3.32
Hf3 0.0000 0.6004 0.0000  4 Sb 3.03, 1 Ga 3.05, 6 Zr 3.30-3.32
Sb1 0.6667 0.3333 0.5000  3 Zr 2.93, 6 Hf 3.03
Sb2 0.3333 0.6667 0.5000  3 Zr 2.93, 6 Hf 3.03
Zr1 0.2472 0.0000 0.5000  2 Ga 2.71, 2 Sb 2.93
Zr2 0.0000 0.2472 0.5000  2 Ga 2.71, 2 Sb 2.93
Zr3 0.7528 0.7528 0.5000  2 Ga 2.71, 2 Sb 2.93

The energy above the most stable polymorph in this dataset comes out at 81 meV per atom. The calculation puts the magnetization at 0.01 μB/cell.

(2)
Computed, not measured: an optimized crystal structure of CdSiNiHg at the PBE level of DFT.

a = 4.6228 Å, b = 4.6228 Å, c = 4.6228 Å
α = 60.00°, β = 60.00°, γ = 60.00°
Closest atoms and distances in Å follow each position.
Atoms (fractional coordinates):
Cd1 0.5000 0.5000 0.5000  4 Hg 2.83, 4 Ni 2.83
Hg1 0.2500 0.2500 0.2500  4 Cd 2.83, 4 Si 2.83
Ni1 0.7500 0.7500 0.7500  4 Cd 2.83, 4 Si 2.83
Si1 0.0000 0.0000 0.0000  4 Hg 2.83, 4 Ni 2.83

The value obtained for the raw total energy is -2.628 eV per atom. The calculation puts the magnetization at 0.01 μB/cell.

(3)
Computed, not measured: an optimized crystal structure of KAlCoSe3 at the PBE level of DFT.

a = 8.7278 Å, b = 3.7298 Å, c = 9.5948 Å
α = 90.00°, β = 109.76°, γ = 90.00°
Closest atoms and distances in Å follow each position.
Atoms (fractional coordinates):
Al1 0.3411 0.7500 0.3782  5 Se 2.51-2.57
Al2 0.6589 0.2500 0.6218  5 Se 2.51-2.57
Co1 0.0654 0.2500 0.0901  4 Se 2.33-2.43, 2 Co 2.54
Co2 0.9346 0.7500 0.9099  4 Se 2.33-2.43, 2 Co 2.54
K1 0.7931 0.7500 0.2535  7 Se 3.31-3.57
K2 0.2069 0.2500 0.7465  7 Se 3.31-3.57
Se1 0.2109 0.7500 0.0475  3 Co 2.33-2.37
Se2 0.5293 0.2500 0.3453  3 Al 2.51-2.57
Se3 0.1341 0.2500 0.3574  1 Co 2.43, 2 Al 2.56
Se4 0.8659 0.7500 0.6426  1 Co 2.43, 2 Al 2.56
Se5 0.4707 0.7500 0.6547  3 Al 2.51-2.57
Se6 0.7891 0.2500 0.9525  3 Co 2.33-2.37

The energy above the most stable polymorph in this dataset comes out at 0 meV per atom. The calculation puts the magnetization at 4.15 μB/cell.

(4)
Computed, not measured: an optimized crystal structure of PmSbN2O at the PBE level of DFT.

a = 7.9304 Å, b = 5.6842 Å, c = 5.8004 Å
α = 90.00°, β = 90.00°, γ = 90.00°
Closest atoms and distances in Å follow each position.
Atoms (fractional coordinates):
N1 0.5000 0.8338 0.0291  2 Sb 2.06
N2 0.2049 0.9423 0.3025  2 Sb 2.06
N3 0.7951 0.9423 0.3025  2 Sb 2.06
N4 0.0000 0.3576 0.4611  2 Sb 2.08
N5 0.5000 0.1662 0.5291  2 Sb 2.06
N6 0.2049 0.0577 0.8025  2 Sb 2.06
N7 0.7951 0.0577 0.8025  2 Sb 2.06
N8 0.0000 0.6424 0.9611  2 Sb 2.08
O1 0.3017 0.4554 0.2045  2 Sb 2.16
O2 0.6983 0.4554 0.2045  2 Sb 2.16
O3 0.3017 0.5446 0.7045  2 Sb 2.16
O4 0.6983 0.5446 0.7045  2 Sb 2.16
Pm1 0.0000 0.2374 0.0498  4 N 2.36-2.48
Pm2 0.5000 0.7468 0.4460  4 N 2.43-2.72, 4 O 2.46-2.68
Pm3 0.0000 0.7626 0.5498  4 N 2.36-2.48
Pm4 0.5000 0.2532 0.9460  4 N 2.43-2.72, 4 O 2.46-2.68
Sb1 0.2461 0.7625 0.0002  4 N 2.06-2.08, 2 O 2.16
Sb2 0.7539 0.7625 0.0002  4 N 2.06-2.08, 2 O 2.16
Sb3 0.2461 0.2375 0.5002  4 N 2.06-2.08, 2 O 2.16
Sb4 0.7539 0.2375 0.5002  4 N 2.06-2.08, 2 O 2.16

The value obtained for the raw total energy is -7.021 eV per atom. The calculation puts the magnetization at 0.01 μB/cell.